(1)
Density functional theory data (PBE-GGA) for a relaxed Pm8Ir2Au crystal.

The calculation puts the energy relative to the lowest polymorph listed for this composition at 67 meV/atom. Its crystal system is monoclinic. The magnetization is 0.00 μB/f.u. For the formation enthalpy at 0 K, the calculation gives -4.06 eV per formula unit.

The structure belongs to space group Cm (No. 8); the cell edges are 8.6094, 12.7525 and 6.2393 Å and the angles 90.00°, 106.51° and 90.00°. The inequivalent atoms are Pm at (0.0000, 0.0000, 0.0000), Pm at (0.0680, 0.3671, 0.8053), Pm at (0.1507, 0.1357, 0.5797), Pm at (0.2324, 0.5000, 0.3967), Pm at (0.3549, 0.2249, 0.1933), Ir at (0.3616, 0.3136, 0.7015) and Au at (0.3655, 0.0000, 0.3633).


(2)
Density functional theory data (PBE-GGA) for a relaxed BaSrPb6 crystal.

The calculation puts the energy relative to the lowest polymorph listed for this composition at 0 meV/atom. Its crystal system is trigonal. The magnetization is 0.00 μB/f.u. For the formation enthalpy at 0 K, the calculation gives -2.81 eV per formula unit.

The structure belongs to space group P3m1 (No. 156); the cell edges are 7.2597, 7.2597 and 17.5407 Å and the angles 90.00°, 90.00° and 120.00°. The inequivalent atoms are Ba at (0.0000, 0.0000, 0.0000), Ba at (0.0000, 0.0000, 0.4971), Ba at (0.6667, 0.3333, 0.6547), Sr at (0.3333, 0.6667, 0.1543), Sr at (0.3333, 0.6667, 0.8369), Sr at (0.6667, 0.3333, 0.3359), Pb at (0.0369, 0.5185, 0.4914), Pb at (0.1697, 0.3395, 0.3243), Pb at (0.1762, 0.3523, 0.6654), Pb at (0.3233, 0.1617, 0.8259), Pb at (0.3485, 0.1742, 0.1657) and Pb at (0.5180, 0.0361, 0.9943).